CoHIrBr (GGA-PBE, optimized geometry); excess energy over the best structure of this formula in the dataset = 0.000 eV per atom; crystal system = monoclinic; E_tot = -4.90 eV/atom; symmetry = Cm, No. 8
1.0
7.455 -1.507 0.000
7.455 1.507 0.000
-0.518 0.000 2.780
Co H Ir Br
1 1 1 1
direct
0.000 0.000 0.000
0.675 0.675 0.169
0.601 0.601 0.597
0.368 0.368 0.873